No. 1
Computed, not measured: a relaxed PmPr4SmDy2 crystal at the GGA-PBE level of DFT.

a b c (Å): 3.6675 6.3274 12.0507
angles (deg): 79.77 90.00 90.00
Sites, in units of the cell vectors:
Pr: 0.0000 0.7505 0.7491
Pr: 0.5000 0.7518 0.2486
Pr: 0.0000 0.2495 0.2509
Pr: 0.5000 0.2482 0.7514
Pm: 0.0000 0.5000 0.5000
Dy: 0.5000 0.0000 0.5000
Dy: 0.0000 0.0000 0.0000
Sm: 0.5000 0.5000 0.0000

Results
* energy of formation: 0.014 eV per atom
* space group: P2/m
* density: 7.14 g/cm3

=====

No. 2
Computed, not measured: a relaxed BeSnPdO2 crystal at the GGA-PBE level of DFT.

a b c (Å): 3.8092 6.6465 3.8092
angles (deg): 90.00 90.00 90.00
Sites, in units of the cell vectors:
Sn: 0.0000 0.0000 0.0000
O: 0.0000 0.0000 0.5000
O: 0.5000 0.0000 0.0000
Pd: 0.5000 0.5000 0.5000
Be: 0.0000 0.5000 0.0000

Results
* raw formation energy: 0.1077 eV per atom
* space group: P4/mmm
* density: 4.58 g/cm3

=====

No. 3
Computed, not measured: a relaxed SmNp2Si2Pt7 crystal at the GGA-PBE level of DFT.

a b c (Å): 4.0645 4.0645 13.9157
angles (deg): 84.11 84.11 89.23
Each line ends with the local moment (μB).
Sites, in units of the cell vectors:
Pt: 0.3695 0.3695 0.4271  -0.07
Pt: 0.9407 0.4420 0.1635  0.05
Pt: 0.4420 0.9407 0.1635  0.05
Pt: 0.5580 0.0593 0.8365  0.05
Pt: 0.6305 0.6305 0.5729  -0.07
Pt: 0.0593 0.5580 0.8365  0.05
Pt: 0.5000 0.5000 0.0000  0.02
Np: 0.1143 0.1143 0.6392  3.81
Np: 0.8857 0.8857 0.3608  3.81
Sm: 0.0000 0.0000 0.0000  0.00
Si: 0.4082 0.4082 0.2559  -0.01
Si: 0.5918 0.5918 0.7441  -0.01

Results
* raw formation energy: -0.7945 eV per atom
* space group: C2/m
* density: 14.94 g/cm3

=====

No. 4
Computed, not measured: a relaxed Dy6ErIn2 crystal at the GGA-PBE level of DFT.

a b c (Å): 3.7320 6.6135 11.7454
angles (deg): 74.78 80.86 73.61
Sites, in units of the cell vectors:
Dy: 0.3172 0.4886 0.8770
Dy: 0.3101 0.7940 0.5857
Dy: 0.9838 0.6903 0.3420
Dy: 0.0162 0.3097 0.6580
Dy: 0.6828 0.5114 0.1230
Dy: 0.6899 0.2060 0.4143
In: 0.6427 0.9182 0.7964
In: 0.3573 0.0818 0.2036
Er: 0.0000 0.0000 0.0000

Results
* energy of formation: -0.204 eV per atom
* space group: C2/m
* polymorph energy (0 for the lowest one): 0.000 eV/atom
* density: 8.52 g/cm3

=====

No. 5
Computed, not measured: a relaxed Be2PIr crystal at the GGA-PBE level of DFT.

a b c (Å): 4.1998 4.7915 2.8702
angles (deg): 69.23 97.23 118.42
Sites, in units of the cell vectors:
Ir: 0.0000 0.5000 0.5000
P: 0.5000 0.5000 0.0000
Be: 0.5000 0.0000 0.5000
Be: 0.0000 0.0000 0.0000

Results
* energy of formation: -0.017 eV per atom
* space group: C2/m
* density: 8.44 g/cm3

=====

No. 6
Computed, not measured: a relaxed LiCr2 crystal at the GGA-PBE level of DFT.

a b c (Å): 4.4106 4.4106 4.4106
angles (deg): 150.48 122.76 65.72
Sites, in units of the cell vectors:
Cr: 0.6648 0.6648 0.0000
Cr: 0.3352 0.3352 0.0000
Li: 0.0000 0.0000 0.0000

Results
* energy of formation: 0.452 eV per atom
* space group: Immm
* polymorph energy (0 for the lowest one): 0.035 eV/atom
* density: 5.24 g/cm3

=====

No. 7
Computed, not measured: a relaxed RbLiS3 crystal at the GGA-PBE level of DFT.

a b c (Å): 4.7562 4.7562 4.7562
angles (deg): 90.00 90.00 90.00
Sites, in units of the cell vectors:
S: 0.5000 0.0000 0.0000
S: 0.0000 0.0000 0.5000
S: 0.0000 0.5000 0.0000
Rb: 0.5000 0.5000 0.5000
Li: 0.0000 0.0000 0.0000

Results
* raw formation energy: -0.0448 eV per atom
* space group: Pm-3m
* polymorph energy (0 for the lowest one): 0.000 eV/atom
* density: 2.91 g/cm3

=====

No. 8
Computed, not measured: a relaxed CeTm4Co4 crystal at the GGA-PBE level of DFT.

a b c (Å): 5.6238 8.1043 8.1043
angles (deg): 90.00 90.00 90.00
Sites, in units of the cell vectors:
Co: 0.8761 0.7536 0.1285
Co: 0.6239 0.7464 0.3715
Co: 0.6239 0.2536 0.6285
Co: 0.1239 0.8715 0.7536
Co: 0.8761 0.2464 0.8715
Co: 0.1239 0.1285 0.2464
Co: 0.3761 0.6285 0.7464
Co: 0.3761 0.3715 0.2536
Tm: 0.8906 0.5731 0.8077
Tm: 0.1094 0.1923 0.5731
Tm: 0.1094 0.8077 0.4269
Tm: 0.6094 0.9269 0.6923
Tm: 0.3906 0.3077 0.9269
Tm: 0.6094 0.0731 0.3077
Tm: 0.3906 0.6923 0.0731
Tm: 0.8906 0.4269 0.1923
Ce: 0.5000 0.5000 0.5000
Ce: 0.0000 0.0000 0.0000

Results
* energy of formation: -0.186 eV per atom
* space group: P4_2/n
* density: 9.46 g/cm3

=====

No. 9
Computed, not measured: a relaxed ScTcOs2 crystal at the GGA-PBE level of DFT.

a b c (Å): 2.7947 2.7947 8.1192
angles (deg): 90.00 90.00 90.00
Sites, in units of the cell vectors:
Sc: 0.0000 0.0000 0.4948
Os: 0.5000 0.5000 0.2259
Os: 0.0000 0.0000 0.0066
Tc: 0.5000 0.5000 0.7727

Results
* energy of formation: 0.054 eV per atom
* space group: P4mm
* polymorph energy (0 for the lowest one): 0.121 eV/atom
* density: 13.71 g/cm3

=====

No. 10
Computed, not measured: a relaxed ReSbRu2 crystal at the GGA-PBE level of DFT.

a b c (Å): 4.4667 4.4667 4.4667
angles (deg): 60.00 60.00 60.00
Each line ends with the local moment (μB).
Sites, in units of the cell vectors:
Ru: 0.0000 0.0000 0.0000  0.17
Ru: 0.7500 0.7500 0.7500  0.41
Re: 0.5000 0.5000 0.5000  -0.02
Sb: 0.2500 0.2500 0.2500  0.01

Results
* raw formation energy: 0.4193 eV per atom
* space group: F-43m
* density: 13.44 g/cm3

=====

No. 11
Computed, not measured: a relaxed BaSr2NO crystal at the GGA-PBE level of DFT.

a b c (Å): 7.2759 4.6207 7.2759
angles (deg): 90.00 90.00 90.00
Each line ends with the local moment (μB).
Sites, in units of the cell vectors:
Sr: 0.0000 0.0000 0.5000  -0.01
Sr: 0.5000 0.0000 0.0000  -0.03
Ba: 0.0000 0.0000 0.0000  0.00
O: 0.0000 0.5000 0.0000  0.00
N: 0.5000 0.5000 0.5000  1.39

Results
* raw formation energy: 0.8070 eV per atom
* space group: P4/mmm
* density: 2.33 g/cm3

=====

Total moment? In order: 0.0; 0.0; 8.2; 0.0; 0.0; 0.0; 0.0; 0.0; 0.0; 0.6; 1.6 Bohr magnetons per cell.